Record 1
Material: NaCeInGa
Method: DFT, PBE-GGA
State: optimized geometry

a b c (Å): 5.224 5.224 5.224
angles (deg): 60.00 60.00 60.00
Each line ends with the local moment (μB).
Positions (direct):
Na: 0.500 0.500 0.500  0.00
Ga: 0.250 0.250 0.250  0.01
Ce: 0.000 0.000 0.000  0.73
In: 0.750 0.750 0.750  0.01

DOS(E_F): 6.4 states/eV/f.u.
Spin magnetization: 0.85 μB per cell
Crystal system: cubic
E: -3.471 eV per atom



Record 2
Material: ZrReMo
Method: DFT, PBE-GGA
State: optimized geometry

a b c (Å): 5.346 5.346 5.346
angles (deg): 90.17 119.95 119.85
Positions (direct):
Zr: 0.250 0.123 0.873
Zr: 0.750 0.877 0.127
Re: 0.000 0.500 0.500
Re: 0.500 0.000 0.500
Mo: 0.500 0.500 0.500
Mo: 0.000 0.500 0.000

DOS(E_F): 2.3 states/eV/f.u.
Spin magnetization: 0.00 μB per cell
Crystal system: orthorhombic
E: -10.868 eV per atom
Offset from the most stable computed form: 0.000 eV/atom



Question: The highest spin magnetization belongs to which entry?
Answer: NaCeInGa